Entry 1:
# Ca2Mg2Cu3

A geometry-optimized Ca2Mg2Cu3 structure (PBE, Alexandria via LeMat-Bulk).

Computed properties:
The calculation puts the theoretical density at 3.52 g/cm³.

a b c (Å): 3.347 27.406 3.282
angles (deg): 90.00 90.00 90.00
Space group Cmmm (No. 65)
Inequivalent atoms, fractional coordinates:
Ca 0.000 0.189 0.000 (multiplicity 4)
Mg 0.000 0.403 0.500 (multiplicity 4)
Cu 0.000 0.044 0.000 (multiplicity 4)
Cu 0.000 0.500 0.500 (multiplicity 2)

Entry 2:
# RbNa2F

A geometry-optimized RbNa2F structure (PBE, Alexandria via LeMat-Bulk).

Computed properties:
The calculation puts the theoretical density at 1.77 g/cm³. The raw formation energy comes out at -0.58 eV/atom.

a b c (Å): 8.262 8.262 8.262
angles (deg): 90.00 90.00 90.00
Space group Fm-3m (No. 225)
Inequivalent atoms, fractional coordinates:
Rb 0.000 0.000 0.000 (multiplicity 4)
Na 0.250 0.250 0.250 (multiplicity 8)
F 0.000 0.000 0.500 (multiplicity 4)

Entry 3:
# SeIO2F

A geometry-optimized SeIO2F structure (PBE, Alexandria via LeMat-Bulk).

Computed properties:
The calculation puts the theoretical density at 4.20 g/cm³. The raw formation energy comes out at -0.10 eV/atom.

a b c (Å): 3.741 3.741 7.266
angles (deg): 90.00 90.00 90.00
Space group P4/mmm (No. 123)
Inequivalent atoms, fractional coordinates:
Se 0.000 0.000 0.000 (multiplicity 1)
I 0.500 0.500 0.500 (multiplicity 1)
O 0.000 0.500 0.000 (multiplicity 2)
F 0.000 0.000 0.500 (multiplicity 1)

Entry 4:
# CuOsRu2

A geometry-optimized CuOsRu2 structure (PBE, Alexandria via LeMat-Bulk).

Computed properties:
The calculation puts the theoretical density at 13.40 g/cm³.

a b c (Å): 2.732 4.541 9.109
angles (deg): 90.00 90.00 90.00
Space group Cmm2 (No. 35)
Inequivalent atoms, fractional coordinates:
Cu 0.000 0.000 0.000 (multiplicity 2)
Os 0.000 0.500 0.249 (multiplicity 2)
Ru 0.000 0.000 0.502 (multiplicity 2)
Ru 0.000 0.500 0.752 (multiplicity 2)

Entry 5:
# ZnFeRu2

A geometry-optimized ZnFeRu2 structure (PBE, Alexandria via LeMat-Bulk).

Computed properties:
The calculation puts the theoretical density at 10.03 g/cm³.

a b c (Å): 2.975 2.975 6.052
angles (deg): 90.00 90.00 90.00
Space group P4/mmm (No. 123)
Inequivalent atoms, fractional coordinates:
Zn 0.000 0.000 0.000 (multiplicity 1)
Fe 0.000 0.000 0.500 (multiplicity 1)
Ru 0.500 0.500 0.265 (multiplicity 2)

Entry 6:
# Y5Sb2O12

A geometry-optimized Y5Sb2O12 structure (PBE, Alexandria via LeMat-Bulk).

Computed properties:
The calculation puts the theoretical density at 5.42 g/cm³. The raw formation energy comes out at -2.80 eV/atom.

a b c (Å): 12.554 6.086 7.388
angles (deg): 90.00 107.27 90.00
Space group C2/m (No. 12)
Inequivalent atoms, fractional coordinates:
Y 0.000 0.000 0.000 (multiplicity 2)
Y 0.196 0.500 0.328 (multiplicity 4)
Y 0.203 0.500 0.865 (multiplicity 4)
Sb 0.000 0.246 0.500 (multiplicity 4)
O 0.001 0.000 0.311 (multiplicity 4)
O 0.001 0.500 0.309 (multiplicity 4)
O 0.153 0.250 0.072 (multiplicity 8)
O 0.168 0.269 0.588 (multiplicity 8)

Entry 7:
# Ho6Si2PbSe3

A geometry-optimized Ho6Si2PbSe3 structure (PBE, Alexandria via LeMat-Bulk).

Computed properties:
The calculation puts the theoretical density at 8.11 g/cm³. The raw formation energy comes out at -1.21 eV/atom.

a b c (Å): 18.152 4.114 8.401
angles (deg): 90.00 103.52 90.00
Space group C2/m (No. 12)
Inequivalent atoms, fractional coordinates:
Ho 0.005 0.000 0.265 (multiplicity 4)
Ho 0.172 0.500 0.101 (multiplicity 4)
Ho 0.172 0.500 0.575 (multiplicity 4)
Si 0.167 0.000 0.335 (multiplicity 4)
Pb 0.000 0.500 0.000 (multiplicity 2)
Se 0.000 0.500 0.500 (multiplicity 2)
Se 0.165 0.000 0.832 (multiplicity 4)

Entry 8:
# Tb2Pm3Pb4

A geometry-optimized Tb2Pm3Pb4 structure (PBE, Alexandria via LeMat-Bulk).

Computed properties:
The calculation puts the theoretical density at 9.35 g/cm³.

a b c (Å): 16.632 5.086 6.875
angles (deg): 90.00 105.05 90.00
Space group C2/m (No. 12)
Inequivalent atoms, fractional coordinates:
Tb 0.167 0.000 0.078 (multiplicity 4)
Pm 0.000 0.500 0.000 (multiplicity 2)
Pm 0.116 0.500 0.580 (multiplicity 4)
Pb 0.007 0.000 0.283 (multiplicity 4)
Pb 0.247 0.500 0.294 (multiplicity 4)

Entry 9:
# YFeTe2I

A geometry-optimized YFeTe2I structure (PBE, Alexandria via LeMat-Bulk).

Computed properties:
The calculation puts the theoretical density at 6.15 g/cm³. The raw formation energy comes out at -0.20 eV/atom.

a b c (Å): 4.949 4.949 5.807
angles (deg): 90.00 90.00 90.00
Space group P4/mmm (No. 123)
Inequivalent atoms, fractional coordinates:
Y 0.000 0.000 0.000 (multiplicity 1)
Fe 0.000 0.000 0.500 (multiplicity 1)
Te 0.000 0.500 0.500 (multiplicity 2)
I 0.500 0.500 0.000 (multiplicity 1)

Entry 10:
# BaLaPdPt

A geometry-optimized BaLaPdPt structure (PBE, Alexandria via LeMat-Bulk).

Computed properties:
The calculation puts the theoretical density at 8.17 g/cm³.

a b c (Å): 4.7847 4.7847 5.9208
angles (deg): 90.00 90.00 120.00
Space group P3m1 (No. 156)
Inequivalent atoms, fractional coordinates:
Ba 0.0000 0.0000 0.0000 (multiplicity 1)
La 0.6667 0.3333 0.4898 (multiplicity 1)
Pd 0.3333 0.6667 0.7405 (multiplicity 1)
Pt 0.3333 0.6667 0.2687 (multiplicity 1)

| no. | energy (eV/cell) | D(E_F) (states/eV per cell) |
| --- | --- | --- |
| 1 | -38.23 | 8.4 |
| 2 | -31.26 | 6.9 |
| 3 | -17.30 | 4.5 |
| 4 | -63.83 | 10.9 |
| 5 | -27.97 | 3.6 |
| 6 | -306.35 | 5.0 |
| 7 | -134.07 | 6.1 |
| 8 | -85.18 | 11.2 |
| 9 | -23.74 | 2.4 |
| 10 | -21.07 | 3.3 |